HfSe2F | GGA-PBEsol | optimized geometry

Lattice parameters (Å, degrees): 2.9956 2.9956 9.3747 80.81 80.81 60.00
Last column: nearest neighbours and their distance in Å.
Fractional positions:
1 Hf 0.0000 0.0000 0.0000  2 Se 2.65
2 Se 0.9041 0.9041 0.2876  3 F 2.61, 1 Hf 2.65
3 Se 0.0959 0.0959 0.7124  3 F 2.61, 1 Hf 2.65
4 F 0.5000 0.5000 0.5000  6 Se 2.61

Properties
Its total energy is -5.114 eV per atom. The space-group type is R-3m (166). As for the raw formation energy: -0.08 eV/atom. As for the crystal system: trigonal.

---

SrTa2Pb | GGA-PBEsol | optimized geometry

Lattice parameters (Å, degrees): 3.5347 3.5347 7.7958 90.00 90.00 90.00
Last column: nearest neighbours and their distance in Å.
Fractional positions:
1 Pb 0.0000 0.0000 0.4532  5 Ta 2.99-3.11
2 Sr 0.5000 0.5000 0.7621  5 Ta 3.46-3.53, 4 Pb 3.47, 4 Sr 3.53
3 Ta 0.0000 0.0000 0.0696  4 Ta 2.74, 1 Pb 2.99
4 Ta 0.5000 0.5000 0.2150  4 Ta 2.74

Properties
Its total energy is -7.451 eV per atom. The calculation puts the formation energy at 285 meV per atom. The space-group type is P4mm (99). As for the crystal system: tetragonal.

---

- Number 1 is which compound?
  HfSe2F

---

Repeat the first record exactly.
HfSe2F | GGA-PBEsol | optimized geometry

Lattice parameters (Å, degrees): 2.9956 2.9956 9.3747 80.81 80.81 60.00
Last column: nearest neighbours and their distance in Å.
Fractional positions:
1 Hf 0.0000 0.0000 0.0000  2 Se 2.65
2 Se 0.9041 0.9041 0.2876  3 F 2.61, 1 Hf 2.65
3 Se 0.0959 0.0959 0.7124  3 F 2.61, 1 Hf 2.65
4 F 0.5000 0.5000 0.5000  6 Se 2.61

Properties
Its total energy is -5.114 eV per atom. The space-group type is R-3m (166). As for the raw formation energy: -0.08 eV/atom. As for the crystal system: trigonal.